Entry 1:
Here is a relaxed structure of HoEr2Al2Zn2 from the Alexandria database. Energies are from PBE-GGA.

Properties
density = 7.281 g/cm³
ΔH_f (0 K) = -0.30 eV per atom
total magnetization = 0.0 μB/cell
space-group type = R-3m, No. 166
N(E_F) = 3.42 states/eV per cell

a = 4.494 Å, b = 4.494 Å, c = 9.293 Å
α = 76.01°, β = 76.01°, γ = 60.00°
Positions (direct):
1 Ho 0.000 0.000 0.000
2 Er 0.128 0.128 0.617
3 Er 0.872 0.872 0.383
4 Al 0.737 0.737 0.790
5 Al 0.263 0.263 0.210
6 Zn 0.602 0.602 0.195
7 Zn 0.398 0.398 0.805

Entry 2:
Here is a relaxed structure of HoErZrAl from the Alexandria database. Energies are from PBE-GGA.

Properties
density = 7.780 g/cm³
ΔH_f (0 K) = -0.02 eV per atom
total magnetization = 0.0 μB/cell
space-group type = F-43m, No. 216
N(E_F) = 7.39 states/eV per cell

a = 5.142 Å, b = 5.142 Å, c = 5.142 Å
α = 60.00°, β = 60.00°, γ = 60.00°
Positions (direct):
1 Al 0.250 0.250 0.250
2 Ho 0.000 0.000 0.000
3 Zr 0.500 0.500 0.500
4 Er 0.750 0.750 0.750

Entry 3:
Here is a relaxed structure of ErAl2I8 from the Alexandria database. Energies are from PBE-GGA.

Properties
E_form (uncorrected) = -785 meV per atom
density = 3.663 g/cm³
total magnetization = 0.0 μB/cell
space-group type = C2/m, No. 12
N(E_F) = 4.83 states/eV per cell

a = 7.221 Å, b = 8.975 Å, c = 8.975 Å
α = 77.10°, β = 83.21°, γ = 83.21°
Positions (direct):
1 Er 0.000 0.000 0.000
2 Al 0.653 0.806 0.806
3 Al 0.347 0.194 0.194
4 I 0.226 0.274 0.915
5 I 0.774 0.085 0.726
6 I 0.279 0.812 0.812
7 I 0.721 0.188 0.188
8 I 0.226 0.915 0.274
9 I 0.774 0.726 0.085
10 I 0.797 0.630 0.630
11 I 0.203 0.370 0.370

Entry 4:
Here is a relaxed structure of Er4AlI5 from the Alexandria database. Energies are from PBE-GGA.

Properties
E_form (uncorrected) = -952 meV per atom
density = 6.391 g/cm³
total magnetization = 0.0 μB/cell
space-group type = C2/m, No. 12
N(E_F) = 4.22 states/eV per cell

a = 4.197 Å, b = 8.792 Å, c = 9.819 Å
α = 102.08°, β = 102.34°, γ = 90.00°
Positions (direct):
1 Er 0.353 0.924 0.706
2 Er 0.000 0.783 0.999
3 Er 0.647 0.076 0.294
4 Er 0.000 0.217 0.001
5 Al 0.500 0.000 0.000
6 I 0.833 0.663 0.666
7 I 0.826 0.167 0.652
8 I 0.174 0.833 0.348
9 I 0.500 0.500 0.000
10 I 0.167 0.337 0.334